1.
The following is a PBE calculation of an optimized crystal structure of Mg2NbNi3Sb3, from the Open Quantum Materials Database.

Computed properties:
DFT total energy in eV per atom: -5.1339

Cell: 7.4004 12.7983 7.3781 Å, 90.00 109.44 90.00°
Space group Cc (No. 9)
Symmetry-distinct sites (fractional):
Mg1 0.0000 0.0834 0.0000 x4
Mg2 0.4940 0.2499 0.9997 x4
Nb1 0.4938 0.0831 0.4962 x4
Ni1 0.1126 0.4229 0.3646 x4
Ni2 0.1158 0.2575 0.8777 x4
Ni3 0.1344 0.0836 0.3779 x4
Sb1 0.2428 0.0867 0.7512 x4
Sb2 0.2446 0.2523 0.2498 x4
Sb3 0.2521 0.4165 0.7459 x4

---

2.
The following is a PBE calculation of an optimized crystal structure of MgNbNiSb, from the Open Quantum Materials Database.

Computed properties:
Energy relative to the lowest polymorph listed for this composition in meV/atom: 200
DFT total energy in eV per atom: -4.9694

Cell: 6.5479 6.5479 6.5479 Å, 90.00 90.00 90.00°
Space group F-43m (No. 216)
Symmetry-distinct sites (fractional):
Mg1 0.0000 0.0000 0.0000 x4
Nb1 0.2500 0.2500 0.7500 x4
Ni1 0.0000 0.0000 0.5000 x4
Sb1 0.2500 0.2500 0.2500 x4

---

3.
The following is a PBE calculation of an optimized crystal structure of MgNbNiSb, from the Open Quantum Materials Database.

Computed properties:
Energy relative to the lowest polymorph listed for this composition in meV/atom: 0
DFT total energy in eV per atom: -5.1689

Cell: 6.5053 6.5053 6.5053 Å, 90.00 90.00 90.00°
Space group F-43m (No. 216)
Symmetry-distinct sites (fractional):
Mg1 0.0000 0.0000 0.0000 x4
Nb1 0.2500 0.2500 0.2500 x4
Ni1 0.2500 0.2500 0.7500 x4
Sb1 0.0000 0.0000 0.5000 x4

---

4.
The following is a PBE calculation of an optimized crystal structure of MgNbNiSn, from the Open Quantum Materials Database.

Computed properties:
Energy relative to the lowest polymorph listed for this composition in meV/atom: 81
DFT total energy in eV per atom: -5.0693

Cell: 6.4968 6.4968 6.4968 Å, 90.00 90.00 90.00°
Space group F-43m (No. 216)
Symmetry-distinct sites (fractional):
Mg1 0.0000 0.0000 0.0000 x4
Nb1 0.2500 0.2500 0.7500 x4
Ni1 0.0000 0.0000 0.5000 x4
Sn1 0.2500 0.2500 0.2500 x4